(1)
First-principles (meta-GGA SCAN) data for a crystal of Cr2PtW relaxed with PBEsol, as listed in Alexandria.

a = 3.659 Å, b = 3.813 Å, c = 3.813 Å
α = 90.00°, β = 90.00°, γ = 90.00°
Fractional coordinates of all 4 atoms:
Cr  0.000  0.000  0.500
Cr  0.000  0.500  0.000
Pt  0.500  0.500  0.500
W  0.500  0.000  0.000

Output
The formation energy comes out at -0.040 eV/atom. The energy above the lowest structure with this stoichiometry comes out at 0.00 eV/f.u. As for the volume: 13.30 Å³ per atom. For the total magnetization, the calculation gives 0.00 μB per formula unit.


(2)
First-principles (meta-GGA SCAN) data for a crystal of Li2La2Ti3O10 relaxed with PBEsol, as listed in Alexandria.

a = 3.838 Å, b = 3.838 Å, c = 13.385 Å
α = 98.24°, β = 98.24°, γ = 90.00°
Fractional coordinates of all 17 atoms:
Li  0.750  0.250  0.500
Li  0.250  0.750  0.500
La  0.581  0.581  0.162
La  0.419  0.419  0.838
Ti  0.842  0.842  0.683
Ti  0.158  0.158  0.317
Ti  0.000  0.000  0.000
O  0.643  0.143  0.286
O  0.226  0.226  0.452
O  0.774  0.774  0.548
O  0.500  0.000  0.000
O  0.143  0.643  0.286
O  0.000  0.500  0.000
O  0.073  0.073  0.147
O  0.927  0.927  0.853
O  0.857  0.357  0.714
O  0.357  0.857  0.714

Output
As for the volume: 11.36 Å³ per atom. The formation energy (no corrections) is -3.378 eV/atom. For the total magnetization, the calculation gives 0.00 μB per formula unit.


(3)
First-principles (meta-GGA SCAN) data for a crystal of Co2ReRu relaxed with PBEsol, as listed in Alexandria.

a = 2.582 Å, b = 4.435 Å, c = 4.446 Å
α = 99.25°, β = 106.88°, γ = 90.00°
Fractional coordinates of all 4 atoms:
Re  0.497  0.486  0.994
Co  0.000  0.000  0.000
Co  0.750  0.248  0.499
Ru  0.253  0.766  0.507

Output
The formation energy comes out at 0.199 eV/atom. The energy above the lowest structure with this stoichiometry comes out at 0.03 eV/f.u. As for the volume: 12.01 Å³ per atom. For the total magnetization, the calculation gives 2.80 μB per formula unit.


(4)
First-principles (meta-GGA SCAN) data for a crystal of Na2LaSb2 relaxed with PBEsol, as listed in Alexandria.

a = 5.541 Å, b = 6.058 Å, c = 5.541 Å
α = 117.21°, β = 90.00°, γ = 117.21°
Fractional coordinates of all 5 atoms:
Sb  0.250  0.500  0.750
Sb  0.750  0.500  0.250
Na  0.361  0.722  0.361
Na  0.639  0.278  0.639
La  0.000  0.000  0.000

Output
The energy above the lowest structure with this stoichiometry comes out at 1.09 eV/f.u. As for the volume: 28.38 Å³ per atom. The formation energy (no corrections) is -0.399 eV/atom. For the total magnetization, the calculation gives 0.00 μB per formula unit.


(5)
First-principles (meta-GGA SCAN) data for a crystal of InCoIr2 relaxed with PBEsol, as listed in Alexandria.

a = 3.897 Å, b = 3.897 Å, c = 4.696 Å
α = 114.51°, β = 114.51°, γ = 90.00°
Fractional coordinates of all 4 atoms:
Ir  0.750  0.250  0.500
Ir  0.250  0.750  0.500
Co  0.500  0.500  0.000
In  0.000  0.000  0.000

Output
The formation energy comes out at 0.142 eV/atom. As for the volume: 14.44 Å³ per atom. For the total magnetization, the calculation gives 2.29 μB per formula unit.


(6)
First-principles (meta-GGA SCAN) data for a crystal of Li2SbC relaxed with PBEsol, as listed in Alexandria.

a = 3.592 Å, b = 3.592 Å, c = 8.819 Å
α = 101.75°, β = 101.75°, γ = 90.00°
Fractional coordinates of all 8 atoms:
Sb  0.250  0.750  0.500
Sb  0.000  0.000  0.000
C  0.750  0.250  0.500
C  0.500  0.500  0.000
Li  0.816  0.875  0.250
Li  0.434  0.375  0.250
Li  0.125  0.566  0.750
Li  0.625  0.184  0.750

Output
As for the volume: 13.62 Å³ per atom. The formation energy (no corrections) is 0.669 eV/atom. For the total magnetization, the calculation gives 0.00 μB per formula unit.


(7)
First-principles (meta-GGA SCAN) data for a crystal of NaSrAlF6 relaxed with PBEsol, as listed in Alexandria.

a = 5.292 Å, b = 9.393 Å, c = 18.207 Å
α = 90.00°, β = 90.00°, γ = 90.00°
Fractional coordinates of all 72 atoms:
Na  0.254  0.868  0.313
Na  0.746  0.368  0.687
Na  0.246  0.868  0.813
Na  0.754  0.368  0.187
Na  0.762  0.773  0.434
Na  0.238  0.273  0.566
Na  0.738  0.773  0.934
Na  0.262  0.273  0.066
Sr  0.253  0.640  0.134
Sr  0.747  0.140  0.866
Sr  0.247  0.640  0.634
Sr  0.753  0.140  0.366
Sr  0.253  0.502  0.386
Sr  0.747  0.002  0.614
Sr  0.247  0.502  0.886
Sr  0.753  0.002  0.114
Al  0.238  0.898  0.994
Al  0.762  0.398  0.006
Al  0.262  0.898  0.494
Al  0.738  0.398  0.506
Al  0.751  0.742  0.254
Al  0.249  0.242  0.746
Al  0.749  0.742  0.754
Al  0.251  0.242  0.246
F  0.469  0.172  0.180
F  0.531  0.672  0.820
F  0.031  0.172  0.680
F  0.969  0.672  0.320
F  0.551  0.466  0.075
F  0.449  0.966  0.925
F  0.949  0.466  0.575
F  0.051  0.966  0.425
F  0.980  0.148  0.210
F  0.020  0.648  0.790
F  0.520  0.148  0.710
F  0.480  0.648  0.290
F  0.329  0.750  0.431
F  0.671  0.250  0.569
F  0.171  0.750  0.931
F  0.829  0.250  0.069
F  0.309  0.103  0.312
F  0.309  0.039  0.058
F  0.691  0.603  0.688
F  0.809  0.603  0.188
F  0.538  0.994  0.462
F  0.462  0.494  0.538
F  0.962  0.994  0.962
F  0.038  0.494  0.038
F  0.004  0.841  0.210
F  0.996  0.341  0.790
F  0.496  0.841  0.710
F  0.504  0.341  0.290
F  0.196  0.390  0.183
F  0.804  0.890  0.817
F  0.304  0.390  0.683
F  0.696  0.890  0.317
F  0.529  0.827  0.190
F  0.471  0.327  0.810
F  0.971  0.827  0.690
F  0.029  0.327  0.310
F  0.023  0.815  0.060
F  0.977  0.315  0.940
F  0.477  0.815  0.560
F  0.523  0.315  0.440
F  0.992  0.297  0.463
F  0.008  0.797  0.537
F  0.508  0.297  0.963
F  0.492  0.797  0.037
F  0.809  0.539  0.442
F  0.191  0.039  0.558
F  0.691  0.539  0.942
F  0.191  0.103  0.812

Output
As for the volume: 12.57 Å³ per atom. The formation energy (no corrections) is -3.804 eV/atom. For the total magnetization, the calculation gives 0.00 μB per formula unit.


(8)
First-principles (meta-GGA SCAN) data for a crystal of ThCdPd2 relaxed with PBEsol, as listed in Alexandria.

a = 4.848 Å, b = 4.848 Å, c = 4.848 Å
α = 60.00°, β = 60.00°, γ = 60.00°
Fractional coordinates of all 4 atoms:
Th  0.500  0.500  0.500
Pd  0.250  0.250  0.250
Pd  0.750  0.750  0.750
Cd  0.000  0.000  0.000

Output
The formation energy comes out at -0.654 eV/atom. As for the volume: 20.15 Å³ per atom. For the total magnetization, the calculation gives 0.00 μB per formula unit.


(9)
First-principles (meta-GGA SCAN) data for a crystal of Er relaxed with PBEsol, as listed in Alexandria.

a = 3.504 Å, b = 3.504 Å, c = 5.449 Å
α = 90.00°, β = 90.00°, γ = 120.00°
Fractional coordinates of all 2 atoms:
Er  0.333  0.667  0.250
Er  0.667  0.333  0.750

Output
The formation energy comes out at 0.000 eV/atom. The energy above the lowest structure with this stoichiometry comes out at 0.00 eV/f.u. As for the volume: 28.98 Å³ per atom. For the total magnetization, the calculation gives 0.16 μB per formula unit.


(10)
First-principles (meta-GGA SCAN) data for a crystal of Ca2Hg relaxed with PBEsol, as listed in Alexandria.

a = 4.912 Å, b = 7.546 Å, c = 9.708 Å
α = 90.00°, β = 90.00°, γ = 90.00°
Fractional coordinates of all 12 atoms:
Ca  0.750  0.472  0.679
Ca  0.750  0.972  0.821
Ca  0.250  0.528  0.321
Ca  0.250  0.028  0.179
Ca  0.750  0.347  0.067
Ca  0.750  0.847  0.433
Ca  0.250  0.653  0.933
Ca  0.250  0.153  0.567
Hg  0.750  0.757  0.119
Hg  0.750  0.257  0.381
Hg  0.250  0.243  0.881
Hg  0.250  0.743  0.619

Output
The formation energy comes out at -0.565 eV/atom. As for the volume: 29.98 Å³ per atom. For the total magnetization, the calculation gives 0.01 μB per formula unit.


(11)
First-principles (meta-GGA SCAN) data for a crystal of Hg7P2O10 relaxed with PBEsol, as listed in Alexandria.

a = 6.275 Å, b = 9.675 Å, c = 10.077 Å
α = 90.00°, β = 90.00°, γ = 95.41°
Fractional coordinates of all 38 atoms:
Hg  0.237  0.350  0.860
Hg  0.763  0.150  0.360
Hg  0.763  0.650  0.140
Hg  0.237  0.850  0.640
Hg  0.987  0.408  0.649
Hg  0.013  0.092  0.149
Hg  0.013  0.592  0.351
Hg  0.987  0.908  0.851
Hg  0.810  0.311  0.882
Hg  0.190  0.189  0.382
Hg  0.190  0.689  0.118
Hg  0.810  0.811  0.618
Hg  0.500  0.500  0.500
Hg  0.500  0.000  0.000
O  0.502  0.205  0.793
O  0.498  0.295  0.293
O  0.498  0.795  0.207
O  0.502  0.705  0.707
O  0.186  0.436  0.466
O  0.814  0.064  0.966
O  0.814  0.564  0.534
O  0.186  0.936  0.034
O  0.542  0.492  0.848
O  0.458  0.008  0.348
O  0.458  0.508  0.152
O  0.542  0.992  0.652
O  0.274  0.165  0.593
O  0.726  0.335  0.093
O  0.726  0.835  0.407
O  0.274  0.665  0.907
O  0.318  0.268  0.066
O  0.682  0.232  0.566
O  0.682  0.732  0.934
O  0.318  0.768  0.434
P  0.501  0.148  0.648
P  0.499  0.352  0.148
P  0.499  0.852  0.352
P  0.501  0.648  0.852

Output
As for the volume: 16.03 Å³ per atom. The formation energy (no corrections) is -1.151 eV/atom. For the total magnetization, the calculation gives 0.00 μB per formula unit.


(12)
First-principles (meta-GGA SCAN) data for a crystal of TlGaS3 relaxed with PBEsol, as listed in Alexandria.

a = 4.742 Å, b = 4.742 Å, c = 4.742 Å
α = 90.00°, β = 90.00°, γ = 90.00°
Fractional coordinates of all 5 atoms:
Tl  0.500  0.500  0.500
S  0.000  0.500  0.000
S  0.000  0.000  0.500
S  0.500  0.000  0.000
Ga  0.000  0.000  0.000

Output
As for the volume: 21.33 Å³ per atom. The formation energy (no corrections) is 0.035 eV/atom. For the total magnetization, the calculation gives 0.00 μB per formula unit.